CoPIrO: relaxed, GGA+U.

abc: 3.479 5.792 5.408
angles: 90.00 90.00 90.00
Fractional coordinates of all 8 atoms:
Co: 0.000 0.086 0.000
Co: 0.000 0.914 0.500
P: 0.000 0.295 0.410
P: 0.000 0.705 0.910
Ir: 0.500 0.480 0.619
Ir: 0.500 0.520 0.119
O: 0.500 0.229 0.893
O: 0.500 0.771 0.393

Computed properties:
- crystal system = orthorhombic
- raw total energy (Ry/atom) = -0.4688
- space-group type = Pmc2_1